Record 1
Hf8Zn2Pt: optimized geometry, PBE.

Calculated values
- DFT formation energy (eV/atom) = -0.0656
- crystal system = monoclinic
- calculated volume (A^3/atom) = 20.76

Cell lengths 7.4421, 7.4421, 5.0204 Å; angles 102.11, 102.11, 116.43 degrees
Last column: nearest neighbours and their distance in Å.
Atoms (fractional coordinates):
Hf1 0.0941 0.3308 0.6043  2 Zn 2.70-2.80, 1 Hf 3.00
Hf2 0.2145 0.7855 0.0000  1 Pt 2.71, 2 Zn 2.75
Hf3 0.3308 0.0941 0.6043  2 Zn 2.70-2.80, 1 Hf 3.00
Hf4 0.3912 0.3912 0.1929  1 Pt 2.82, 4 Hf 2.87-3.10, 2 Zn 2.87
Hf5 0.6088 0.6088 0.8071  1 Pt 2.82, 4 Hf 2.87-3.10, 2 Zn 2.87
Hf6 0.6692 0.9059 0.3957  2 Zn 2.70-2.80, 1 Hf 3.00
Hf7 0.7855 0.2145 0.0000  1 Pt 2.71, 2 Zn 2.75
Hf8 0.9059 0.6692 0.3957  2 Zn 2.70-2.80, 1 Hf 3.00
Zn1 0.3031 0.6969 0.5000  8 Hf 2.70-2.87
Zn2 0.6969 0.3031 0.5000  8 Hf 2.70-2.87
Pt1 0.0000 0.0000 0.0000  4 Hf 2.71-2.82

=====

Record 2
HfZnPt3: optimized geometry, PBE.

Calculated values
- DFT formation energy (eV/atom) = 0.6840
- energy above the lowest structure with this stoichiometry (meV/atom) = 1226.2
- crystal system = cubic
- calculated volume (A^3/atom) = 24.02

Cell lengths 4.9341, 4.9341, 4.9341 Å; angles 90.00, 90.00, 90.00 degrees
Last column: nearest neighbours and their distance in Å.
Atoms (fractional coordinates):
Hf1 0.0000 0.0000 0.0000  6 Pt 2.47
Zn1 0.5000 0.5000 0.5000  12 Pt 3.49
Pt1 0.0000 0.0000 0.5000  2 Hf 2.47
Pt2 0.0000 0.5000 0.0000  2 Hf 2.47
Pt3 0.5000 0.0000 0.0000  2 Hf 2.47

=====

Record 3
Hf4Zn3Pt: optimized geometry, PBE.

Calculated values
- DFT formation energy (eV/atom) = -0.3953
- crystal system = orthorhombic
- calculated volume (A^3/atom) = 18.55

Cell lengths 3.3279, 4.2212, 10.5627 Å; angles 90.00, 90.00, 90.00 degrees
Last column: nearest neighbours and their distance in Å.
Atoms (fractional coordinates):
Hf1 0.0000 0.0000 0.0000  5 Zn 2.82-2.88, 2 Pt 3.00
Hf2 0.0000 0.5000 0.3090  4 Pt 2.80, 3 Zn 2.89-2.93
Hf3 0.5000 0.0000 0.4964  1 Pt 2.75, 6 Zn 2.84-2.95
Hf4 0.5000 0.5000 0.8189  7 Zn 2.76-3.00
Zn1 0.0000 0.0000 0.7274  2 Zn 2.61, 5 Hf 2.86-2.88
Zn2 0.0000 0.5000 0.5824  2 Zn 2.61, 5 Hf 2.84-2.89
Zn3 0.5000 0.5000 0.0802  2 Pt 2.68, 7 Hf 2.76-2.93
Pt1 0.5000 0.0000 0.2358  2 Zn 2.68, 7 Hf 2.75-3.00

=====

Record 4
HfZnPt: optimized geometry, PBE.

Calculated values
- DFT formation energy (eV/atom) = -0.6109
- crystal system = cubic
- calculated volume (A^3/atom) = 19.98

Cell lengths 6.2128, 6.2128, 6.2128 Å; angles 90.00, 90.00, 90.00 degrees
Last column: nearest neighbours and their distance in Å.
Atoms (fractional coordinates):
Hf1 0.0000 0.0000 0.0000  4 Pt 2.69
Hf2 0.0000 0.5000 0.5000  4 Pt 2.69
Hf3 0.5000 0.0000 0.5000  4 Pt 2.69
Hf4 0.5000 0.5000 0.0000  4 Pt 2.69
Zn1 0.0000 0.0000 0.5000  4 Pt 2.69
Zn2 0.0000 0.5000 0.0000  4 Pt 2.69
Zn3 0.5000 0.0000 0.0000  4 Pt 2.69
Zn4 0.5000 0.5000 0.5000  4 Pt 2.69
Pt1 0.2500 0.2500 0.7500  4 Hf 2.69, 4 Zn 2.69
Pt2 0.2500 0.7500 0.2500  4 Hf 2.69, 4 Zn 2.69
Pt3 0.7500 0.2500 0.2500  4 Hf 2.69, 4 Zn 2.69
Pt4 0.7500 0.7500 0.7500  4 Zn 2.69, 4 Hf 2.69

=====

Record 5
HfZn2Pt3: optimized geometry, PBE.

Calculated values
- DFT formation energy (eV/atom) = -0.7553
- crystal system = trigonal
- calculated volume (A^3/atom) = 16.01

Cell lengths 4.4688, 4.4688, 11.1062 Å; angles 90.00, 90.00, 120.00 degrees
Last column: nearest neighbours and their distance in Å.
Atoms (fractional coordinates):
Hf1 0.3333 0.6667 0.1733  8 Pt 2.74-2.80
Hf2 0.6667 0.3333 0.8267  8 Pt 2.74-2.80
Zn1 0.0000 0.0000 0.0000  8 Pt 2.72-2.97
Zn2 0.0000 0.0000 0.5000  8 Pt 2.59-2.73
Zn3 0.3333 0.6667 0.6642  8 Pt 2.69-2.86
Zn4 0.6667 0.3333 0.3358  8 Pt 2.69-2.86
Pt1 0.0000 0.0000 0.2671  4 Zn 2.59-2.69, 3 Hf 2.78
Pt2 0.0000 0.0000 0.7329  4 Zn 2.59-2.69, 3 Hf 2.78
Pt3 0.3333 0.6667 0.4199  7 Zn 2.71-2.74, 1 Hf 2.74
Pt4 0.3333 0.6667 0.9215  4 Zn 2.72-2.86, 4 Hf 2.79-2.80
Pt5 0.6667 0.3333 0.0785  4 Zn 2.72-2.86, 4 Hf 2.79-2.80
Pt6 0.6667 0.3333 0.5801  7 Zn 2.71-2.74, 1 Hf 2.74

=====

Record 6
HfZnPt6: optimized geometry, PBE.

Calculated values
- DFT formation energy (eV/atom) = -0.7602
- crystal system = tetragonal
- calculated volume (A^3/atom) = 15.78

Cell lengths 3.9963, 3.9963, 7.9036 Å; angles 90.00, 90.00, 90.00 degrees
Last column: nearest neighbours and their distance in Å.
Atoms (fractional coordinates):
Hf1 0.0000 0.0000 0.0000  12 Pt 2.83
Zn1 0.0000 0.0000 0.5000  12 Pt 2.79-2.83
Pt1 0.0000 0.5000 0.2530  8 Pt 2.79-2.83, 2 Zn 2.79, 2 Hf 2.83
Pt2 0.0000 0.5000 0.7470  8 Pt 2.79-2.83, 2 Zn 2.79, 2 Hf 2.83
Pt3 0.5000 0.0000 0.2530  8 Pt 2.79-2.83, 2 Zn 2.79, 2 Hf 2.83
Pt4 0.5000 0.0000 0.7470  8 Pt 2.79-2.83, 2 Zn 2.79, 2 Hf 2.83
Pt5 0.5000 0.5000 0.0000  4 Hf 2.83, 8 Pt 2.83
Pt6 0.5000 0.5000 0.5000  8 Pt 2.79, 4 Zn 2.83